(1)
First-principles (GGA-PBE) data for a geometry-optimized RbCuH3 structure, as listed in OQMD.

Cell: 5.8398 5.8398 5.7243 Å, 119.24 119.24 58.68°
Fractional coordinates of all 10 atoms:
Rb  0.2499  0.2499  0.2496
Rb  0.7501  0.7501  0.7504
Cu  0.0000  0.0000  0.5000
Cu  0.5000  0.5000  0.0000
H  0.1903  0.8094  0.3096
H  0.1906  0.8097  0.6904
H  0.3151  0.3151  0.8139
H  0.6849  0.6849  0.1861
H  0.8094  0.1903  0.3096
H  0.8097  0.1906  0.6904

=====

(2)
First-principles (GGA-PBE) data for a geometry-optimized SnGeW structure, as listed in OQMD.

Cell: 4.5190 4.5190 4.5190 Å, 60.00 60.00 60.00°
Fractional coordinates of all 3 atoms:
Sn  0.0000  0.0000  0.0000
Ge  0.5000  0.5000  0.5000
W  0.7500  0.7500  0.7500

=====

| no. | ΔE to the lowest computed polymorph (eV per formula unit) |
| --- | --- |
| 1 | 0.230 |
| 2 | 0.000 |